DFT (PBE) results for an optimized crystal structure of LiLa2Mn.

Cell and atoms, written as extended XYZ:
```
8
Lattice="8.244 0.000 0.000 0.000 8.244 0.000 4.122 4.122 3.210" Properties=species:S:1:pos:R:3 pbc="T T T"
Mn 0.000 0.000 0.000
Mn 8.244 4.122 1.605
Li 4.122 4.122 0.000
Li 4.122 8.244 1.605
La 6.407 2.061 0.802
La 1.837 6.183 0.802
La 6.183 5.959 2.407
La 10.305 10.529 2.407
```

symmetry = No. 122
uncorrected energy = -4.7818 eV per atom
M_tot = 2.77 μB/f.u.